No. 1
Density functional theory data (PBE-GGA) for a relaxed AcHo2Cu6 crystal.

a b c (Å): 3.7515 7.3958 7.3958
angles (deg): 120.00 90.00 90.00
Closest atoms and distances in Å follow each position.
Positions (direct):
Ho  0.0000  0.6667  0.3333  12 Cu 3.08
Ho  0.0000  0.3333  0.6667  12 Cu 3.08
Cu  0.5000  0.0000  0.3389  3 Cu 2.38-2.51
Cu  0.5000  0.0000  0.6611  3 Cu 2.38-2.51
Cu  0.5000  0.3389  0.0000  3 Cu 2.38-2.51
Cu  0.5000  0.6611  0.0000  3 Cu 2.38-2.51
Cu  0.5000  0.3389  0.3389  3 Cu 2.38-2.51
Cu  0.5000  0.6611  0.6611  3 Cu 2.38-2.51
Ac  0.0000  0.0000  0.0000  12 Cu 3.13

Output
N(E_F), states/eV/atom: 0.688
Calculated formation energy, eV/atom: -0.209
Magnetic moment, μB per atom: 0.0000
Space group: No. 191


No. 2
Density functional theory data (PBE-GGA) for a relaxed AcHoCu4 crystal.

a b c (Å): 5.4240 5.4240 5.4240
angles (deg): 60.00 60.00 60.00
Closest atoms and distances in Å follow each position.
Positions (direct):
Cu  0.1338  0.6221  0.6221  6 Cu 2.65-2.78
Cu  0.6221  0.6221  0.1338  6 Cu 2.65-2.78
Cu  0.6221  0.1338  0.6221  6 Cu 2.65-2.78
Cu  0.6221  0.6221  0.6221  6 Cu 2.65-2.78
Ho  0.2500  0.2500  0.2500  12 Cu 3.17, 4 Ac 3.32
Ac  0.0000  0.0000  0.0000  12 Cu 3.19, 4 Ho 3.32

Output
N(E_F), states/eV/atom: 0.775
Calculated formation energy, eV/atom: -0.040
Magnetic moment, μB per atom: 0.0000
Energy above the most stable polymorph in this dataset, meV per atom: 161
Space group: No. 216


No. 3
Density functional theory data (PBE-GGA) for a relaxed AcHo2Cu crystal.

a b c (Å): 3.5895 3.5895 8.9350
angles (deg): 90.00 90.00 90.00
Closest atoms and distances in Å follow each position.
Positions (direct):
Ho  0.0000  0.0000  0.1820  4 Cu 3.01, 1 Ho 3.25
Ho  0.0000  0.0000  0.8180  4 Cu 3.01, 1 Ho 3.25
Cu  0.5000  0.5000  0.0000  8 Ho 3.01
Ac  0.5000  0.5000  0.5000  4 Ac 3.59, 8 Ho 3.81

Output
N(E_F), states/eV/atom: 0.938
Calculated formation energy, eV/atom: -0.061
Magnetic moment, μB per atom: 0.0000
Energy above the most stable polymorph in this dataset, meV per atom: 0
Space group: No. 123


No. 4
Density functional theory data (PBE-GGA) for a relaxed AcHoCu3 crystal.

a b c (Å): 4.4089 3.9455 12.9177
angles (deg): 98.78 90.00 90.00
Closest atoms and distances in Å follow each position.
Positions (direct):
Ac  0.7500  0.9251  0.8502  12 Cu 3.22-3.30
Ac  0.2500  0.0749  0.1498  12 Cu 3.22-3.30
Cu  0.2500  0.3748  0.7495  3 Cu 2.56-2.59
Cu  0.7500  0.6252  0.2505  3 Cu 2.56-2.59
Cu  0.7500  0.3214  0.6429  2 Cu 2.59
Cu  0.7500  0.5251  0.0503  3 Cu 2.55-2.56
Cu  0.2500  0.6786  0.3571  2 Cu 2.59
Cu  0.2500  0.4749  0.9497  3 Cu 2.55-2.56
Ho  0.7500  0.2069  0.4139  7 Cu 2.87-3.05
Ho  0.2500  0.7931  0.5861  7 Cu 2.87-3.05

Output
N(E_F), states/eV/atom: 0.652
Calculated formation energy, eV/atom: -0.210
Magnetic moment, μB per atom: 0.0000
Space group: No. 63


No. 5
Density functional theory data (PBE-GGA) for a relaxed AcHoCu10 crystal.

a b c (Å): 4.1103 5.1759 8.9008
angles (deg): 90.00 90.00 90.00
Closest atoms and distances in Å follow each position.
Positions (direct):
Cu  0.0000  0.5000  0.8435  6 Cu 2.48-2.55
Cu  0.0000  0.0000  0.6785  6 Cu 2.52-2.60
Cu  0.0000  0.0000  0.3215  6 Cu 2.52-2.60
Cu  0.0000  0.5000  0.1565  6 Cu 2.48-2.55
Cu  0.5000  0.5000  0.0000  8 Cu 2.48-2.51
Cu  0.5000  0.2438  0.7607  8 Cu 2.51-2.65
Cu  0.5000  0.7562  0.7607  8 Cu 2.51-2.65
Cu  0.5000  0.2438  0.2393  8 Cu 2.51-2.65
Cu  0.5000  0.0000  0.5000  8 Cu 2.60-2.64
Cu  0.5000  0.7562  0.2393  8 Cu 2.51-2.65
Ho  0.0000  0.0000  0.0000  6 Cu 2.86-2.94
Ac  0.0000  0.5000  0.5000  18 Cu 3.04-3.37

Output
N(E_F), states/eV/atom: 0.565
Calculated formation energy, eV/atom: -0.155
Magnetic moment, μB per atom: 0.0000
Space group: No. 47


No. 6
Density functional theory data (PBE-GGA) for a relaxed LiAcHoCu crystal.

a b c (Å): 5.2790 5.2790 5.2790
angles (deg): 60.00 60.00 60.00
Closest atoms and distances in Å follow each position.
Positions (direct):
Ac  0.5000  0.5000  0.5000  4 Li 3.23, 4 Cu 3.23
Li  0.7500  0.7500  0.7500  4 Ho 3.23, 4 Ac 3.23
Ho  0.0000  0.0000  0.0000  4 Li 3.23, 4 Cu 3.23
Cu  0.2500  0.2500  0.2500  4 Ac 3.23, 4 Ho 3.23

Output
N(E_F), states/eV/atom: 1.198
Calculated formation energy, eV/atom: 0.047
Magnetic moment, μB per atom: 0.0000
Space group: No. 216


No. 7
Density functional theory data (PBE-GGA) for a relaxed AcHoCuNi crystal.

a b c (Å): 5.0710 5.0710 5.0710
angles (deg): 60.00 60.00 60.00
Closest atoms and distances in Å follow each position.
Positions (direct):
Ac  0.2500  0.2500  0.2500  4 Ni 3.11, 4 Cu 3.11
Cu  0.5000  0.5000  0.5000  4 Ac 3.11, 4 Ho 3.11
Ni  0.0000  0.0000  0.0000  4 Ho 3.11, 4 Ac 3.11
Ho  0.7500  0.7500  0.7500  4 Ni 3.11, 4 Cu 3.11

Output
N(E_F), states/eV/atom: 0.747
Calculated formation energy, eV/atom: -0.157
Magnetic moment, μB per atom: 0.0000
Space group: No. 216


No. 8
Density functional theory data (PBE-GGA) for a relaxed Ac2HoCuO5 crystal.

a b c (Å): 3.8168 3.8168 9.4817
angles (deg): 90.00 90.00 90.00
Closest atoms and distances in Å follow each position.
Positions (direct):
Ac  0.5000  0.5000  0.6966  9 O 2.67-2.88
Ac  0.5000  0.5000  0.3034  9 O 2.67-2.88
Ho  0.0000  0.0000  0.0000  2 O 2.16
O  0.0000  0.5000  0.5000  2 Cu 1.91
O  0.5000  0.0000  0.5000  2 Cu 1.91
O  0.0000  0.0000  0.2278  1 Ho 2.16
O  0.0000  0.0000  0.7722  1 Ho 2.16
O  0.5000  0.5000  0.0000  4 Ho 2.70, 2 Ac 2.88
Cu  0.0000  0.0000  0.5000  4 O 1.91

Output
N(E_F), states/eV/atom: 0.121
Raw formation energy, meV per atom: -2585
Magnetic moment, μB per atom: 0.0000
Space group: No. 123


No. 9
Density functional theory data (PBE-GGA) for a relaxed AcHoCuOs crystal.

a b c (Å): 5.0533 5.0533 5.0533
angles (deg): 60.00 60.00 60.00
Closest atoms and distances in Å follow each position.
Positions (direct):
Cu  0.2500  0.2500  0.2500  4 Ac 3.09, 4 Ho 3.09
Ac  0.5000  0.5000  0.5000  4 Os 3.09, 4 Cu 3.09
Ho  0.0000  0.0000  0.0000  4 Cu 3.09, 4 Os 3.09
Os  0.7500  0.7500  0.7500  4 Ac 3.09, 4 Ho 3.09

Output
N(E_F), states/eV/atom: 0.633
Calculated formation energy, eV/atom: -0.035
Magnetic moment, μB per atom: 0.0000
Space group: No. 216


No. 10
Density functional theory data (PBE-GGA) for a relaxed AcHoCuPd crystal.

a b c (Å): 5.1729 5.1729 5.1729
angles (deg): 60.00 60.00 60.00
Closest atoms and distances in Å follow each position.
Positions (direct):
Cu  0.2500  0.2500  0.2500  4 Ac 3.17, 4 Ho 3.17
Pd  0.7500  0.7500  0.7500  4 Ho 3.17, 4 Ac 3.17
Ac  0.0000  0.0000  0.0000  4 Pd 3.17, 4 Cu 3.17
Ho  0.5000  0.5000  0.5000  4 Pd 3.17, 4 Cu 3.17

Output
N(E_F), states/eV/atom: 0.772
Calculated formation energy, eV/atom: -0.426
Magnetic moment, μB per atom: 0.0000
Space group: No. 216


No. 11
Density functional theory data (PBE-GGA) for a relaxed Ac2HoCuPd6 crystal.

a b c (Å): 5.8391 9.0340 9.0304
angles (deg): 37.71 71.14 90.00
Closest atoms and distances in Å follow each position.
Positions (direct):
Ac  0.2101  0.7907  0.5798  6 Pd 3.03
Ac  0.7899  0.2093  0.4202  6 Pd 3.03
Pd  0.2556  0.2385  0.4890  1 Cu 2.56, 1 Ho 2.82
Pd  0.2399  0.2568  0.0154  1 Cu 2.56, 1 Ho 2.83
Pd  0.7446  0.2568  0.0152  1 Cu 2.56, 1 Ho 2.83
Pd  0.7601  0.7432  0.9846  1 Cu 2.56, 1 Ho 2.83
Pd  0.2554  0.7432  0.9848  1 Cu 2.56, 1 Ho 2.83
Pd  0.7444  0.7615  0.5110  1 Cu 2.56, 1 Ho 2.82
Ho  0.0000  0.0000  0.0000  6 Pd 2.82-2.83
Cu  0.5000  0.5000  0.0000  6 Pd 2.56

Output
N(E_F), states/eV/atom: 0.492
Calculated formation energy, eV/atom: -0.549
Magnetic moment, μB per atom: 0.0000
Space group: No. 12


No. 12
Density functional theory data (PBE-GGA) for a relaxed AcHoCuRh crystal.

a b c (Å): 5.0997 5.0997 5.0997
angles (deg): 60.00 60.00 60.00
Closest atoms and distances in Å follow each position.
Positions (direct):
Rh  0.7500  0.7500  0.7500  4 Ho 3.12, 4 Ac 3.12
Ac  0.5000  0.5000  0.5000  4 Rh 3.12, 4 Cu 3.12
Cu  0.2500  0.2500  0.2500  4 Ac 3.12, 4 Ho 3.12
Ho  0.0000  0.0000  0.0000  4 Cu 3.12, 4 Rh 3.12

Output
N(E_F), states/eV/atom: 0.914
Calculated formation energy, eV/atom: -0.384
Magnetic moment, μB per atom: 0.0000
Space group: No. 216